Record 1
BaNaZn, optimized geometry, DFT GGA-PBE; E above lowest polymorph = 0 meV/atom; energy of formation = -116 meV per atom
1.0
4.5607 0.0000 0.0000
0.0000 4.6045 0.0000
-2.2921 0.0000 10.7096
Ba Na Zn
2 2 2
Cartesian
-0.0055 1.1511 2.0116 Ba
2.2741 3.4534 8.6980 Ba
-0.0074 1.1511 6.2410 Na
2.2759 3.4534 4.4686 Na
-0.0111 1.1511 10.0579 Zn
2.2796 3.4534 0.6517 Zn

***

Record 2
Ta3SnF, optimized geometry, DFT GGA-PBE; E above lowest polymorph = 0 meV/atom; formation energy without anion corrections = 0.125 eV per atom
1.0
4.3849 0.0000 0.0000
0.0000 4.3849 0.0000
0.0000 0.0000 4.3849
Ta Sn F
3 1 1
Cartesian
0.0000 0.0000 2.1924 Ta
0.0000 2.1924 0.0000 Ta
2.1924 0.0000 0.0000 Ta
2.1924 2.1924 2.1924 Sn
0.0000 0.0000 0.0000 F

***

Record 3
Pr6Ho2Er5, optimized geometry, DFT GGA-PBE; energy of formation = 107 meV per atom
1.0
11.7173 0.0000 0.0000
0.0000 20.6474 0.0000
0.0000 0.0000 3.6296
Pr Ho Er
12 4 10
Cartesian
0.7050 1.6587 0.0000 Pr
0.9880 7.5842 0.0000 Pr
2.0187 13.1043 1.8148 Pr
3.8399 2.7806 1.8148 Pr
4.8706 17.9079 0.0000 Pr
5.1536 11.9824 0.0000 Pr
6.5637 8.6650 0.0000 Pr
6.8466 2.7395 0.0000 Pr
7.8773 17.8668 1.8148 Pr
9.6986 7.5431 1.8148 Pr
10.7293 13.0632 0.0000 Pr
11.0122 18.9887 0.0000 Pr
1.9254 16.3106 0.0000 Ho
3.9333 5.9869 0.0000 Ho
7.7840 14.6606 0.0000 Ho
9.7919 4.3368 0.0000 Ho
0.0000 10.3237 1.8148 Er
1.1016 4.6834 1.8148 Er
2.3209 19.4866 1.8148 Er
3.5377 9.1628 1.8148 Er
4.7570 15.0071 1.8148 Er
5.8586 0.0000 1.8148 Er
6.9602 5.6403 1.8148 Er
8.1796 11.4846 1.8148 Er
9.3963 1.1609 1.8148 Er
10.6157 15.9640 1.8148 Er

***

Record 4
NpTl2I2Br4, optimized geometry, DFT GGA-PBE; formation energy without anion corrections = -0.978 eV per atom
1.0
7.0048 -3.8902 0.0000
7.0048 3.8902 0.0000
-4.4571 0.0000 6.7691
Np Tl I Br
1 2 2 4
Cartesian
0.0000 0.0000 0.0000 Np
-0.0743 0.0000 5.3496 Tl
9.6268 0.0000 1.4195 Tl
1.8783 0.0000 2.3518 I
7.6742 0.0000 4.4174 I
5.4176 1.9567 1.2032 Br
4.1349 1.9567 5.5659 Br
5.4176 -1.9567 1.2032 Br
4.1349 -1.9567 5.5659 Br

***

Record 5
Pr3InTe2, optimized geometry, DFT GGA-PBE; E above lowest polymorph = 4 meV/atom; formation energy without anion corrections = -1.129 eV per atom
1.0
3.9726 -6.8152 0.0000
3.9726 6.8152 0.0000
-2.6309 0.0000 7.3518
Pr In Te
6 2 4
Cartesian
1.9863 3.4076 0.0000 Pr
0.6589 1.1300 3.6602 Pr
-0.6565 -1.1300 7.3361 Pr
0.6708 -3.4076 3.6759 Pr
5.9708 1.1300 0.0157 Pr
4.6553 -1.1300 3.6916 Pr
3.3148 5.6542 1.8379 In
1.9994 -5.6542 5.5138 In
1.9994 3.3731 5.5138 Te
3.3148 1.1292 1.8379 Te
1.9994 -1.1292 5.5138 Te
3.3148 -3.3731 1.8379 Te

***

Record 6
Pm4IrO3, optimized geometry, DFT GGA-PBE; formation energy without anion corrections = -2.168 eV per atom
1.0
8.2590 0.0000 0.0000
0.0000 6.5931 0.0000
0.0000 0.0000 6.4959
Pm Ir O
8 2 6
Cartesian
0.0000 1.0454 0.0000 Pm
0.0000 5.1094 3.6772 Pm
1.8109 4.3554 0.6248 Pm
2.3186 2.2378 3.8727 Pm
4.1295 1.4838 0.4293 Pm
4.1295 5.5477 3.2479 Pm
5.9404 2.2378 3.8727 Pm
6.4481 4.3554 0.6248 Pm
0.0000 1.1926 2.8868 Ir
4.1295 5.4005 6.1347 Ir
0.0000 5.3249 5.9553 O
1.9666 2.2325 6.1878 O
2.1629 4.3606 2.9399 O
4.1295 1.2682 2.7074 O
6.0961 4.3606 2.9399 O
6.2923 2.2325 6.1878 O